Record 1
Density functional theory data (PBE) for a relaxed structure of MnBe2Cu.

Output
Electronic total energy (eV/atom): -5.146
N(E_F) (states/eV/f.u.): 1.94
Calculated formation energy (meV per atom): 34
Size of the total moment (μB/cell): 0.5

a b c (Å): 2.4406 2.4406 22.9325
angles (deg): 90.00 90.00 120.00
Space group R-3m (No. 166, hexagonal axes)
Asymmetric unit:
Mn1 0.0000 0.0000 0.0000
Be1 0.0000 0.0000 0.2505
Cu1 0.0000 0.0000 0.5000



Record 2
Density functional theory data (PBE) for a relaxed structure of MnBeCu2.

Output
Electronic total energy (eV/atom): -5.167
N(E_F) (states/eV/f.u.): 2.71
Calculated formation energy (meV per atom): 105
Size of the total moment (μB/cell): 6.1

a b c (Å): 3.749 2.578 9.474
angles (deg): 90.00 90.00 90.00
Space group Amm2 (No. 38)
Asymmetric unit:
Mn1 0.000 0.000 0.000
Be1 0.500 0.000 0.601
Cu1 0.000 0.000 0.734
Cu2 0.500 0.000 0.351



Record 3
Density functional theory data (PBE) for a relaxed structure of MnBeCu2.

Output
Electronic total energy (eV/atom): -5.152
N(E_F) (states/eV/f.u.): 2.55
Calculated formation energy (meV per atom): 120
Size of the total moment (μB/cell): 3.1

a b c (Å): 2.524 3.778 4.942
angles (deg): 90.00 104.17 90.00
Space group P2/m (No. 10)
Asymmetric unit:
Mn1 0.000 0.000 0.000
Be1 0.000 0.000 0.500
Cu1 0.414 0.500 0.733